[1]
{
  "formula": "CsLiW",
  "functional": "PBE-GGA",
  "state": "relaxed",
  "lattice_angstrom": [[0.0000, 3.8122, 3.8122], [3.8122, 0.0000, 3.8122], [3.8122, 3.8122, 0.0000]],
  "species": ["Cs", "Li", "W"],
  "fractional_positions": [[0.0000, 0.0000, 0.0000], [0.2500, 0.2500, 0.2500], [0.5000, 0.5000, 0.5000]],
  "mass_density_g_cm3": 4.85,
  "de_polymorph_mev_per_atom": 0
}

[2]
{
  "formula": "YBeTlNi",
  "functional": "PBE-GGA",
  "state": "relaxed",
  "lattice_angstrom": [[0.0000, 3.2424, 3.2424], [3.2424, 0.0000, 3.2424], [3.2424, 3.2424, 0.0000]],
  "species": ["Y", "Be", "Tl", "Ni"],
  "fractional_positions": [[0.0000, 0.0000, 0.0000], [0.2500, 0.2500, 0.2500], [0.5000, 0.5000, 0.5000], [0.7500, 0.7500, 0.7500]],
  "mass_density_g_cm3": 8.79,
  "de_polymorph_mev_per_atom": 0
}

[3]
{
  "formula": "NdF",
  "functional": "PBE-GGA",
  "state": "relaxed",
  "lattice_angstrom": [[0.0000, 2.5929, 2.5929], [2.5929, 0.0000, 2.5929], [2.5929, 2.5929, 0.0000]],
  "species": ["Nd", "F"],
  "fractional_positions": [[0.0000, 0.0000, 0.0000], [0.5000, 0.5000, 0.5000]],
  "mass_density_g_cm3": 7.78,
  "de_polymorph_mev_per_atom": 83
}

[4]
{
  "formula": "Y4Ni3Mo2C3",
  "functional": "PBE-GGA",
  "state": "relaxed",
  "lattice_angstrom": [[4.9408, -2.8646, 0.0000], [4.9408, 2.8646, 0.0000], [-3.3910, 0.0000, 13.5560]],
  "species": ["Y", "Y", "Y", "Y", "Y", "Y", "Y", "Y", "Ni", "Ni", "Ni", "Ni", "Ni", "Ni", "Mo", "Mo", "Mo", "Mo", "C", "C", "C", "C", "C", "C"],
  "fractional_positions": [[0.0351, 0.8779, 0.6205], [0.1221, 0.9649, 0.8795], [0.1842, 0.3688, 0.1000], [0.3688, 0.1842, 0.6000], [0.6312, 0.8158, 0.4000], [0.8158, 0.6312, 0.9000], [0.8779, 0.0351, 0.1205], [0.9649, 0.1221, 0.3795], [0.0954, 0.4136, 0.7496], [0.4043, 0.5957, 0.2500], [0.4136, 0.0954, 0.2496], [0.5864, 0.9046, 0.7504], [0.5957, 0.4043, 0.7500], [0.9046, 0.5864, 0.2504], [0.2891, 0.4788, 0.4246], [0.4788, 0.2891, 0.9246], [0.5212, 0.7109, 0.0754], [0.7109, 0.5212, 0.5754], [0.0000, 0.5000, 0.5000], [0.2049, 0.6574, 0.9998], [0.3426, 0.7951, 0.5002], [0.5000, 0.0000, 0.0000], [0.6574, 0.2049, 0.4998], [0.7951, 0.3426, 0.0002]],
  "final_energy_ev_per_atom": -7.86,
  "mass_density_g_cm3": 6.57
}

[5]
{
  "formula": "BaGePt",
  "functional": "PBE-GGA",
  "state": "relaxed",
  "lattice_angstrom": [[0.0000, 3.6438, 3.6438], [3.6438, 0.0000, 3.6438], [3.6438, 3.6438, 0.0000]],
  "species": ["Ba", "Ge", "Pt"],
  "fractional_positions": [[0.0000, 0.0000, 0.0000], [0.7500, 0.7500, 0.7500], [0.2500, 0.2500, 0.2500]],
  "final_energy_ev_per_atom": -3.76,
  "mass_density_g_cm3": 6.95
}

[6]
{
  "formula": "MgCuBiMo",
  "functional": "PBE-GGA",
  "state": "relaxed",
  "lattice_angstrom": [[0.0000, 3.3308, 3.3308], [3.3308, 0.0000, 3.3308], [3.3308, 3.3308, 0.0000]],
  "species": ["Mg", "Cu", "Bi", "Mo"],
  "fractional_positions": [[0.0000, 0.0000, 0.0000], [0.7500, 0.7500, 0.7500], [0.5000, 0.5000, 0.5000], [0.2500, 0.2500, 0.2500]],
  "mass_density_g_cm3": 8.83,
  "de_polymorph_mev_per_atom": 0
}

[7]
{
  "formula": "Hf3ScC2S2",
  "functional": "PBE-GGA",
  "state": "relaxed",
  "lattice_angstrom": [[3.3913, 0.0000, 0.0000], [-1.6956, 2.9369, 0.0000], [0.0000, 0.0000, 12.0434]],
  "species": ["Hf", "Hf", "Hf", "Sc", "C", "C", "S", "S"],
  "fractional_positions": [[0.0000, 0.0000, 0.0000], [0.0000, 0.0000, 0.3012], [0.3333, 0.6667, 0.7993], [0.3333, 0.6667, 0.5023], [0.6667, 0.3333, 0.3977], [0.6667, 0.3333, 0.9003], [0.0000, 0.0000, 0.6525], [0.3333, 0.6667, 0.1506]],
  "final_energy_ev_per_atom": -9.21,
  "mass_density_g_cm3": 9.26
}

[8]
{
  "formula": "PrMgU",
  "functional": "PBE-GGA",
  "state": "relaxed",
  "lattice_angstrom": [[0.0000, 3.6102, 3.6102], [3.6102, 0.0000, 3.6102], [3.6102, 3.6102, 0.0000]],
  "species": ["Pr", "Mg", "U"],
  "fractional_positions": [[0.0000, 0.0000, 0.0000], [0.2500, 0.2500, 0.2500], [0.5000, 0.5000, 0.5000]],
  "mass_density_g_cm3": 7.12,
  "de_polymorph_mev_per_atom": 0
}